1.
# CaBi4O9

An optimized crystal structure of CaBi4O9 (PBEsol, Alexandria).

Output
Uncorrected formation energy ... -1335 meV per atom
SG ... P2/c (13)

```
CaBi4O9
1.0
-0.7755 5.0409 2.4362
-8.1268 -1.3511 0.2087
1.6321 -3.5639 7.8940
Ca Bi O
2 8 18
direct
0.2416 0.7500 0.7500 Ca
0.7584 0.2500 0.2500 Ca
0.7047 0.6498 0.4509 Bi
0.2500 0.5390 0.1413 Bi
0.7500 0.0390 0.6413 Bi
0.2953 0.1498 0.9509 Bi
0.7047 0.8502 0.0491 Bi
0.7500 0.4610 0.8587 Bi
0.2953 0.3502 0.5491 Bi
0.2500 0.9610 0.3587 Bi
0.5654 0.7500 0.2500 O
0.4346 0.2500 0.7500 O
0.9378 0.9982 0.1745 O
0.0384 0.1790 0.4600 O
0.0384 0.3210 0.0400 O
0.9378 0.5018 0.3255 O
0.0622 0.0018 0.8255 O
0.9616 0.8210 0.5400 O
0.9616 0.6790 0.9600 O
0.0622 0.4982 0.6745 O
0.4821 0.6551 0.9465 O
0.5670 0.9649 0.8594 O
0.5670 0.5351 0.6406 O
0.4821 0.8449 0.5535 O
0.5179 0.1551 0.4465 O
0.4330 0.0351 0.1406 O
0.4330 0.4649 0.3594 O
0.5179 0.3449 0.0535 O
```

2.
# CsGe2Te2

An optimized crystal structure of CsGe2Te2 (PBEsol, Alexandria).

Output
Uncorrected formation energy ... -273 meV per atom
SG ... I4/mmm (139)

```
CsGe2Te2
1.0
5.4981 0.0000 0.0000
0.0000 5.4981 0.0000
-2.7491 -2.7491 5.1896
Cs Ge Te
1 2 2
direct
0.0000 0.0000 0.0000 Cs
0.3546 0.3546 0.7092 Ge
0.6454 0.6454 0.2908 Ge
0.2500 0.7500 0.5000 Te
0.7500 0.2500 0.5000 Te
```

3.
# AgAsPbBr2

An optimized crystal structure of AgAsPbBr2 (PBEsol, Alexandria).

Output
Uncorrected formation energy ... 469 meV per atom
SG ... P4/mmm (123)

```
AgAsPbBr2
1.0
5.5517 0.0000 0.0000
0.0000 5.6445 0.0000
0.0000 0.0000 5.6445
Pb As Br Ag
1 1 2 1
direct
0.0000 0.0000 0.0000 Pb
0.5000 0.0000 0.0000 As
0.0000 0.0000 0.5000 Br
0.0000 0.5000 0.0000 Br
0.5000 0.5000 0.5000 Ag
```

4.
# LiCuSbO4

An optimized crystal structure of LiCuSbO4 (PBEsol, Alexandria).

Output
Uncorrected formation energy ... -1355 meV per atom
SG ... Imma (74)
Energy above the most stable polymorph in this dataset ... 11 meV per atom

```
LiCuSbO4
1.0
5.7221 0.0000 0.0000
-2.8611 5.5147 0.0459
0.0000 -3.3534 5.0279
Li Cu Sb O
2 2 2 8
direct
0.6565 0.3130 0.4065 Li
0.3435 0.6870 0.5935 Li
0.5000 0.5000 0.0000 Cu
0.0000 0.5000 0.0000 Cu
0.0000 0.0000 0.0000 Sb
0.0000 0.0000 0.5000 Sb
0.7842 0.5684 0.8139 O
0.7802 0.0288 0.2644 O
0.2486 0.0288 0.2644 O
0.7842 0.5684 0.2544 O
0.2158 0.4316 0.7456 O
0.2198 0.9712 0.7356 O
0.7514 0.9712 0.7356 O
0.2158 0.4316 0.1861 O
```

5.
# K2InAgCl6

An optimized crystal structure of K2InAgCl6 (PBEsol, Alexandria).

Output
Uncorrected formation energy ... -1304 meV per atom
SG ... Fm-3m (225)

```
K2InAgCl6
1.0
7.2460 0.0000 0.0000
3.6230 6.2752 0.0000
3.6230 2.0917 5.9163
K In Ag Cl
2 1 1 6
direct
0.7500 0.7500 0.7500 K
0.2500 0.2500 0.2500 K
0.0000 0.0000 0.0000 In
0.5000 0.5000 0.5000 Ag
0.7549 0.2451 0.2451 Cl
0.7549 0.7549 0.2451 Cl
0.2451 0.7549 0.7549 Cl
0.7549 0.2451 0.7549 Cl
0.2451 0.7549 0.2451 Cl
0.2451 0.2451 0.7549 Cl
```

6.
# YZr3

An optimized crystal structure of YZr3 (PBEsol, Alexandria).

Output
SG ... Imm2 (44)
E_form ... 0.0766 eV per atom
Energy above the most stable polymorph in this dataset ... 16 meV per atom

```
YZr3
1.0
3.2536 0.0000 0.0000
0.0000 5.6697 0.0000
-1.6268 -2.8348 5.1895
Y Zr
1 3
direct
0.0000 0.0013 0.0000 Y
0.2463 0.9137 0.4926 Zr
0.5000 0.4974 0.0000 Zr
0.7537 0.4210 0.5074 Zr
```

7.
# LiMnRe2

An optimized crystal structure of LiMnRe2 (PBEsol, Alexandria).

Output
SG ... Immm (71)
E_form ... 0.2547 eV per atom

```
LiMnRe2
1.0
-1.5677 0.3525 2.4527
-1.8556 -3.7859 -0.6419
4.7266 -0.1328 1.2875
Li Mn Re
1 1 2
direct
0.0000 0.5000 0.0000 Li
0.5000 0.0000 0.0000 Mn
0.7585 0.7585 0.5170 Re
0.2415 0.2415 0.4830 Re
```

8.
# Sr2PCl

An optimized crystal structure of Sr2PCl (PBEsol, Alexandria).

Output
Uncorrected formation energy ... -1429 meV per atom
SG ... P4/mmm (123)

```
Sr2PCl
1.0
-0.2518 1.6932 3.2839
2.1259 -2.6277 1.5134
6.1974 4.0770 -1.6269
Cl P Sr
1 1 2
direct
0.5000 0.5000 0.5000 Cl
0.5000 0.5000 0.0000 P
0.0000 0.0000 0.2127 Sr
0.0000 0.0000 0.7873 Sr
```

9.
# Na2SnAu2

An optimized crystal structure of Na2SnAu2 (PBEsol, Alexandria).

Output
SG ... P4/mbm (127)
E_form ... -0.2283 eV per atom

```
Na2SnAu2
1.0
-0.8828 -2.8010 3.1974
-3.1609 -4.3886 -4.7172
6.2755 -3.2871 -1.1470
Na Au Sn
4 4 2
direct
0.5000 0.1645 0.6645 Na
0.5000 0.6645 0.8355 Na
0.5000 0.8355 0.3355 Na
0.5000 0.3355 0.1645 Na
0.0000 0.3626 0.8626 Au
0.0000 0.8626 0.6374 Au
0.0000 0.6374 0.1374 Au
0.0000 0.1374 0.3626 Au
0.0000 0.0000 0.0000 Sn
0.0000 0.5000 0.5000 Sn
```

10.
# Sb2RhIBr

An optimized crystal structure of Sb2RhIBr (PBEsol, Alexandria).

Output
Uncorrected formation energy ... 185 meV per atom
SG ... P4/mmm (123)

```
Sb2RhIBr
1.0
5.0909 0.0000 0.0000
0.0000 5.0909 0.0000
0.0000 0.0000 5.3895
I Sb Rh Br
1 2 1 1
direct
0.0000 0.0000 0.5000 I
0.0000 0.5000 0.0000 Sb
0.5000 0.0000 0.0000 Sb
0.0000 0.0000 0.0000 Rh
0.5000 0.5000 0.5000 Br
```

11.
# FeCu2W

An optimized crystal structure of FeCu2W (PBEsol, Alexandria).

Output
SG ... P4mm (99)
E_form ... 0.2566 eV per atom
Energy above the most stable polymorph in this dataset ... 0 meV per atom

```
FeCu2W
1.0
-0.4557 2.5545 1.4488
0.6595 -1.3397 2.5696
5.3659 1.3417 -0.6777
Cu Fe W
2 1 1
direct
0.0000 0.0000 0.0246 Cu
0.5000 0.5000 0.2442 Cu
0.0000 0.0000 0.4980 Fe
0.5000 0.5000 0.7331 W
```

12.
# RbTi2CdB

An optimized crystal structure of RbTi2CdB (PBEsol, Alexandria).

Output
SG ... P4/mmm (123)
E_form ... 0.7791 eV per atom

```
RbTi2CdB
1.0
-1.0913 4.1819 -0.7420
-1.3021 -1.0587 -4.0513
-5.3666 -1.0459 1.9982
B Ti Rb Cd
1 2 1 1
direct
0.0000 0.0000 0.0000 B
0.0000 0.5000 0.0000 Ti
0.5000 0.0000 0.0000 Ti
0.0000 0.0000 0.5000 Rb
0.5000 0.5000 0.5000 Cd
```

| no. | final energy (eV per atom) |
| --- | --- |
| 1 | -6.09 |
| 2 | -3.85 |
| 3 | -2.76 |
| 4 | -5.91 |
| 5 | -3.36 |
| 6 | -8.45 |
| 7 | -9.34 |
| 8 | -4.30 |
| 9 | -3.21 |
| 10 | -3.99 |
| 11 | -7.60 |
| 12 | -4.40 |